Entry from Alexandria: Li2Zn at its PBEsol-relaxed geometry (meta-GGA SCAN).

Properties
Total DFT energy (no corrections)   -6.2142 eV per atom
Total magnetic moment   0.02 μB per formula unit
Energy of formation   -0.116 eV/atom

abc: 3.839 4.043 12.108
angles: 90.00 90.00 90.00
Space group Fmmm (No. 69)
One atom of each set of equivalent atoms:
Li: 0.000 0.000 0.155 x8
Zn: 0.000 0.000 0.500 x4